An optimized crystal structure of Nd3AlF, computed with PBE.

## Properties
The calculated total energy comes out at -5.0194 eV/atom. The calculation puts the magnetic moment at 0.0 Bohr magnetons per cell.

Cell: 4.986 4.986 4.986 Å, 90.00 90.00 90.00°
Space group Pm-3m (No. 221)
Asymmetric unit:
Nd: 0.000 0.000 0.500 x3
Al: 0.500 0.500 0.500 x1
F: 0.000 0.000 0.000 x1

An optimized crystal structure of Nd2AlF, computed with PBE.

## Properties
The value obtained for the polymorph energy (0 for the lowest one) is 343.5 meV per atom. The calculated total energy comes out at -4.6174 eV/atom. The calculation puts the magnetic moment at 0.0 Bohr magnetons per cell.

Cell: 3.3549 3.3549 30.1807 Å, 90.00 90.00 120.00°
Space group R-3m (No. 166, hexagonal axes)
Asymmetric unit:
Nd: 0.0000 0.0000 0.1028 x6
Al: 0.0000 0.0000 0.0000 x3
F: 0.0000 0.0000 0.5000 x3

An optimized crystal structure of NdAlF6, computed with PBE.

## Properties
The calculated total energy comes out at -6.2043 eV/atom. The calculation puts the magnetic moment at 0.0 Bohr magnetons per cell.

Cell: 5.957 6.915 4.561 Å, 90.00 102.77 90.00°
Space group C2/m (No. 12)
Asymmetric unit:
Nd: 0.000 0.000 0.000 x2
Al: 0.000 0.500 0.500 x2
F: 0.109 0.322 0.787 x8
F: 0.213 0.000 0.571 x4

An optimized crystal structure of Nd2AlF, computed with PBE.

## Properties
The value obtained for the polymorph energy (0 for the lowest one) is 0.0 meV per atom. The calculated total energy comes out at -4.9608 eV/atom. The calculation puts the magnetic moment at 0.0 Bohr magnetons per cell.

Cell: 3.316 3.316 7.966 Å, 90.00 90.00 90.00°
Space group P4/mmm (No. 123)
Asymmetric unit:
Nd: 0.000 0.000 0.240 x2
Al: 0.500 0.500 0.500 x1
F: 0.500 0.500 0.000 x1

no.,uncorrected formation energy (eV per atom)
1,-1.04
2,-0.83
3,-3.74
4,-1.17